meta-GGA SCAN Ce2Ga12Cu, PBEsol geometry; ΔH_f (0 K) = -39 kJ/mol of atoms; D(E_F) = 7.66 states/eV/f.u.; V = 546.7 Å³/cell
1.0
6.0220 0.0000 0.0000
0.0000 6.0220 0.0000
0.0000 0.0000 15.0743
Ga Ce Cu
24 4 2
Cartesian
4.5181 1.5071 1.2990 Ga
4.5181 4.5149 13.7753 Ga
4.0429 1.0319 6.4534 Ga
3.0110 3.0110 9.9409 Ga
1.9791 4.9900 6.4534 Ga
0.0000 0.0000 5.1334 Ga
4.5149 4.5181 1.2990 Ga
1.5071 4.5181 13.7753 Ga
1.0319 4.0429 8.6209 Ga
0.0000 0.0000 12.3418 Ga
1.9791 1.0319 8.6209 Ga
3.0110 3.0110 2.7325 Ga
4.5149 1.5039 13.7753 Ga
1.5039 4.5149 1.2990 Ga
3.0110 3.0110 12.3418 Ga
4.9900 1.9791 8.6209 Ga
0.0000 0.0000 2.7325 Ga
4.9900 4.0429 6.4534 Ga
1.5039 1.5071 13.7753 Ga
1.5071 1.5039 1.2990 Ga
4.0429 4.9900 8.6209 Ga
3.0110 3.0110 5.1334 Ga
1.0319 1.9791 6.4534 Ga
0.0000 0.0000 9.9409 Ga
0.0000 3.0110 3.6798 Ce
3.0110 0.0000 3.6798 Ce
3.0110 0.0000 11.3945 Ce
0.0000 3.0110 11.3945 Ce
0.0000 3.0110 0.0000 Cu
3.0110 0.0000 0.0000 Cu